{"formula": "Bi2PdSe4O12", "functional": "meta-GGA SCAN", "state": "single point on PBEsol structure", "lattice_angstrom": [[-2.596, -4.338, -4.980], [3.720, -6.243, 3.499], [-9.933, 1.053, 4.261]], "species": ["Se", "Bi", "Se", "Se", "O", "O", "O", "O", "O", "O", "O", "Bi", "Se", "O", "O", "O", "O", "O", "O", "Se", "O", "O", "Se", "O", "O", "Se", "O", "Pd", "Bi", "O", "Pd", "O", "O", "O", "O", "Se", "Bi", "O"], "fractional_positions": [[0.678, 0.117, 0.367], [0.365, 0.763, 0.911], [0.178, 0.383, 0.633], [0.822, 0.617, 0.367], [0.788, 0.523, 0.203], [0.352, 0.078, 0.063], [0.602, 0.313, 0.345], [0.898, 0.813, 0.345], [0.648, 0.922, 0.937], [0.852, 0.422, 0.937], [0.118, 0.924, 0.172], [0.865, 0.737, 0.089], [0.322, 0.883, 0.633], [0.099, 0.817, 0.571], [0.507, 0.301, 0.906], [0.599, 0.683, 0.429], [0.618, 0.576, 0.828], [0.993, 0.801, 0.906], [0.288, 0.977, 0.797], [0.826, 0.866, 0.817], [0.901, 0.183, 0.429], [0.007, 0.199, 0.094], [0.174, 0.134, 0.183], [0.398, 0.687, 0.655], [0.401, 0.317, 0.571], [0.674, 0.366, 0.817], [0.148, 0.578, 0.063], [0.000, 0.000, 0.500], [0.635, 0.237, 0.089], [0.382, 0.424, 0.172], [0.500, 0.500, 0.500], [0.493, 0.699, 0.094], [0.882, 0.076, 0.828], [0.102, 0.187, 0.655], [0.212, 0.477, 0.797], [0.326, 0.634, 0.183], [0.135, 0.263, 0.911], [0.712, 0.023, 0.203]], "sg": "P2_1/c", "formation_energy_uncorrected_mev_per_atom": -962, "m_tot_mub_per_cell": 0.00}


{"formula": "PrBiO4", "functional": "meta-GGA SCAN", "state": "single point on PBEsol structure", "lattice_angstrom": [[5.600, 0.000, 0.000], [0.000, 5.673, 0.000], [0.000, 0.000, 10.843]], "species": ["Pr", "Bi", "O", "O", "O", "O", "O", "Pr", "O", "O", "Pr", "O", "Bi", "Bi", "O", "Bi", "O", "O", "Pr", "O", "O", "O", "O", "O"], "fractional_positions": [[0.200, 0.750, 0.250], [0.750, 0.794, 0.000], [0.888, 0.933, 0.371], [0.488, 0.951, 0.117], [0.488, 0.549, 0.383], [0.112, 0.067, 0.629], [0.612, 0.567, 0.871], [0.800, 0.250, 0.750], [0.012, 0.951, 0.883], [0.988, 0.049, 0.117], [0.700, 0.250, 0.250], [0.512, 0.049, 0.883], [0.250, 0.206, 0.000], [0.250, 0.294, 0.500], [0.512, 0.451, 0.617], [0.750, 0.706, 0.500], [0.012, 0.549, 0.617], [0.988, 0.451, 0.383], [0.300, 0.750, 0.750], [0.388, 0.067, 0.371], [0.612, 0.933, 0.629], [0.388, 0.433, 0.129], [0.888, 0.567, 0.129], [0.112, 0.433, 0.871]], "sg": "Pnna", "formation_energy_uncorrected_mev_per_atom": -2053, "m_tot_mub_per_cell": 0.00}


{"formula": "PrBiO4", "functional": "meta-GGA SCAN", "state": "single point on PBEsol structure", "lattice_angstrom": [[5.634, 0.000, 0.000], [0.000, 7.870, 0.051], [0.000, -1.084, 7.862]], "species": ["Pr", "Bi", "O", "Bi", "O", "O", "O", "O", "O", "O", "O", "O", "O", "O", "O", "Bi", "O", "Pr", "Pr", "Bi", "O", "O", "O", "Pr"], "fractional_positions": [[0.232, 0.863, 0.607], [0.227, 0.339, 0.685], [0.400, 0.578, 0.684], [0.773, 0.661, 0.315], [0.100, 0.578, 0.184], [0.391, 0.330, 0.929], [0.891, 0.670, 0.571], [0.006, 0.115, 0.664], [0.900, 0.422, 0.816], [0.600, 0.422, 0.316], [0.507, 0.843, 0.379], [0.007, 0.157, 0.121], [0.506, 0.885, 0.836], [0.493, 0.157, 0.621], [0.109, 0.330, 0.429], [0.273, 0.339, 0.185], [0.993, 0.843, 0.879], [0.268, 0.863, 0.107], [0.768, 0.137, 0.393], [0.727, 0.661, 0.815], [0.609, 0.670, 0.071], [0.494, 0.115, 0.164], [0.994, 0.885, 0.336], [0.732, 0.137, 0.893]], "sg": "P2_1/c", "formation_energy_uncorrected_mev_per_atom": -2064, "m_tot_mub_per_cell": 0.00}


{"formula": "PrTi6Bi7O24", "functional": "meta-GGA SCAN", "state": "single point on PBEsol structure", "lattice_angstrom": [[5.413, 0.022, 0.017], [-0.017, 5.395, -0.003], [2.653, 0.018, 16.497]], "species": ["O", "O", "Ti", "O", "O", "O", "O", "O", "Bi", "Ti", "O", "O", "O", "Bi", "Ti", "O", "O", "Bi", "Ti", "Bi", "O", "Bi", "O", "Ti", "O", "Bi", "Pr", "O", "O", "O", "O", "Bi", "O", "O", "O", "O", "O", "Ti"], "fractional_positions": [[0.141, 0.444, 0.637], [0.479, 0.935, 0.886], [0.965, 0.498, 0.002], [0.642, 0.056, 0.637], [0.374, 0.071, 0.119], [0.609, 0.775, 0.219], [0.284, 0.790, 0.754], [0.506, 0.255, 0.496], [0.572, 0.504, 0.866], [0.591, 0.002, 0.742], [0.716, 0.789, 0.021], [0.652, 0.296, 0.987], [0.828, 0.231, 0.779], [0.315, 0.522, 0.419], [0.091, 0.499, 0.742], [0.006, 0.244, 0.496], [0.983, 0.566, 0.886], [0.432, 0.499, 0.134], [0.464, 0.005, 0.003], [0.731, 0.481, 0.574], [0.862, 0.433, 0.118], [0.071, 0.995, 0.866], [0.785, 0.712, 0.755], [0.328, 0.000, 0.255], [0.770, 0.562, 0.361], [0.231, 0.019, 0.574], [0.922, 0.992, 0.126], [0.208, 0.720, 0.023], [0.274, 0.936, 0.361], [0.004, 0.745, 0.500], [0.530, 0.292, 0.247], [0.813, 0.979, 0.419], [0.504, 0.756, 0.500], [0.146, 0.202, 0.990], [0.030, 0.207, 0.250], [0.328, 0.270, 0.779], [0.110, 0.722, 0.220], [0.836, 0.495, 0.255]], "sg": "P1", "formation_energy_uncorrected_mev_per_atom": -2399, "m_tot_mub_per_cell": 0.00}


Computed calculated volume, in the same sequence as the records: 587.4 344.4 348.9 481.6 Å³/cell.
Computed ρ, in the same sequence as the records: 5.84 7.98 7.88 7.84 g cm⁻³.